Compound: CdO8
Source: Alexandria via LeMat-Bulk
Functional: PBE
Structure: optimized geometry

Cell lengths 6.2277, 6.2277, 6.2277 Å; angles 99.84, 99.84, 131.17 degrees
Closest atoms and distances in Å follow each position.
Atoms (fractional coordinates):
Cd  0.0000  0.0000  0.0000  8 O 2.82
O  0.0000  0.4230  0.4230  1 O 1.24
O  0.0000  0.5770  0.5770  1 O 1.24
O  0.3992  0.3992  0.7983  2 O 1.62
O  0.3992  0.6008  0.0000  2 O 1.62
O  0.4230  0.0000  0.4230  1 O 1.24
O  0.5770  0.0000  0.5770  1 O 1.24
O  0.6008  0.3992  0.0000  2 O 1.62
O  0.6008  0.6008  0.2017  2 O 1.62

Properties
* DFT total energy: -3.87 eV/atom
* density of states at the Fermi level: 0.7992 states/eV per atom
* formation energy without anion corrections: 5.7 eV/f.u.
* ρ: 2.411 Mg/m³